# 1
Density functional theory data (GGA-PBE) for a geometry-optimized Au4N2F5 structure.

Formation energy (no corrections) in kJ per mole of atoms: -48
Magnetization in μB/atom: 0.000

Cell: 3.193 6.556 10.728 Å, 74.86 83.24 83.76°
Space group P-1 (No. 2)
Unique sites:
Au1 0.187 0.310 0.000 (multiplicity 2)
Au2 0.223 0.769 0.765 (multiplicity 2)
N1 0.021 0.434 0.475 (multiplicity 2)
F1 0.055 0.070 0.720 (multiplicity 2)
F2 0.403 0.453 0.796 (multiplicity 2)
F3 0.500 0.000 0.000 (multiplicity 1)

# 2
Density functional theory data (GGA-PBE) for a geometry-optimized Au3NF structure.

Formation energy (no corrections) in kJ per mole of atoms: 47
Distance to the lowest polymorph of the same formula in eV/atom: 0.000
Magnetization in μB/atom: 0.000

Cell: 4.310 4.310 4.310 Å, 90.00 90.00 90.00°
Space group Pm-3m (No. 221)
Unique sites:
Au1 0.000 0.000 0.500 (multiplicity 3)
N1 0.000 0.000 0.000 (multiplicity 1)
F1 0.500 0.500 0.500 (multiplicity 1)

# 3
Density functional theory data (GGA-PBE) for a geometry-optimized AuN2F3 structure.

Formation energy (no corrections) in kJ per mole of atoms: 109
Magnetization in μB/atom: 0.985

Cell: 17.846 4.141 7.370 Å, 90.00 94.18 90.00°
Space group C2/c (No. 15)
Unique sites:
Au1 0.000 0.001 0.250 (multiplicity 4)
N1 0.176 0.496 0.357 (multiplicity 8)
F1 0.000 0.499 0.750 (multiplicity 4)
F2 0.074 0.000 0.065 (multiplicity 8)

# 4
Density functional theory data (GGA-PBE) for a geometry-optimized AuN3F structure.

Formation energy (no corrections) in kJ per mole of atoms: 297
Magnetization in μB/atom: 0.583

Cell: 3.734 3.734 3.734 Å, 90.00 90.00 90.00°
Space group Pm-3m (No. 221)
Unique sites:
Au1 0.000 0.000 0.000 (multiplicity 1)
N1 0.000 0.500 0.500 (multiplicity 3)
F1 0.500 0.500 0.500 (multiplicity 1)